Entry 1:
Compound: CsScAg
Source: the Open Quantum Materials Database
Functional: PBE
Structure: relaxed

Cell and atoms, written as POSCAR:
```
CsScAg
1.0
7.7622 0.0000 0.0000
0.0000 7.7622 0.0000
0.0000 0.0000 7.7622
Cs Sc Ag
4 4 4
direct
0.0000 0.0000 0.0000 Cs
0.0000 0.5000 0.5000 Cs
0.5000 0.0000 0.5000 Cs
0.5000 0.5000 0.0000 Cs
0.0000 0.0000 0.5000 Sc
0.0000 0.5000 0.0000 Sc
0.5000 0.0000 0.0000 Sc
0.5000 0.5000 0.5000 Sc
0.2500 0.2500 0.2500 Ag
0.2500 0.7500 0.7500 Ag
0.7500 0.2500 0.7500 Ag
0.7500 0.7500 0.2500 Ag
```

V   38.974 Å³/atom
Total magnetization   0.3251 μB per atom
Final energy   -2.5534 eV per atom
Relative energy among the computed polymorphs   0 meV/atom



Entry 2:
Compound: CsScAg
Source: the Open Quantum Materials Database
Functional: PBE
Structure: relaxed

Cell and atoms, written as POSCAR:
```
CsScAg
1.0
7.5136 0.0000 0.0000
0.0000 7.5136 0.0000
0.0000 0.0000 7.5136
Cs Sc Ag
4 4 4
direct
0.0000 0.0000 0.0000 Cs
0.0000 0.5000 0.5000 Cs
0.5000 0.0000 0.5000 Cs
0.5000 0.5000 0.0000 Cs
0.2500 0.2500 0.2500 Sc
0.2500 0.7500 0.7500 Sc
0.7500 0.2500 0.7500 Sc
0.7500 0.7500 0.2500 Sc
0.2500 0.2500 0.7500 Ag
0.2500 0.7500 0.2500 Ag
0.7500 0.2500 0.2500 Ag
0.7500 0.7500 0.7500 Ag
```

V   35.348 Å³/atom
Total magnetization   0.3942 μB per atom
Final energy   -2.0861 eV per atom
Relative energy among the computed polymorphs   467 meV/atom



Entry 3:
Compound: CsScAgSe3
Source: the Open Quantum Materials Database
Functional: PBE
Structure: relaxed

Cell and atoms, written as POSCAR:
```
CsScAgSe3
1.0
1.9744 -8.2165 0.0000
1.9744 8.2165 0.0000
0.0000 0.0000 10.4753
Cs Sc Ag Se
2 2 2 6
direct
0.2470 0.7530 0.7500 Cs
0.7530 0.2470 0.2500 Cs
0.0000 0.0000 0.0000 Sc
0.0000 0.0000 0.5000 Sc
0.4612 0.5388 0.2500 Ag
0.5388 0.4612 0.7500 Ag
0.0660 0.9340 0.2500 Se
0.3855 0.6145 0.0343 Se
0.3855 0.6145 0.4657 Se
0.6145 0.3855 0.5343 Se
0.6145 0.3855 0.9657 Se
0.9340 0.0660 0.7500 Se
```

V   28.322 Å³/atom
Total magnetization   0.0008 μB per atom
Final energy   -4.4523 eV per atom



Entry 4:
Compound: CsAgSe
Source: the Open Quantum Materials Database
Functional: PBE
Structure: relaxed

Cell and atoms, written as POSCAR:
```
CsAgSe
1.0
5.3800 0.0000 0.0000
0.0000 5.6393 0.0000
-2.6720 0.0000 8.1095
Cs Ag Se
2 2 2
direct
0.1507 0.2500 0.3003 Cs
0.8493 0.7500 0.6997 Cs
0.5000 0.0000 0.0000 Ag
0.5000 0.5000 0.0000 Ag
0.3700 0.2500 0.7446 Se
0.6300 0.7500 0.2554 Se
```

V   41.006 Å³/atom
Final energy   -3.1191 eV per atom



Entry 5:
Compound: CsAgSe4
Source: the Open Quantum Materials Database
Functional: PBE
Structure: relaxed

Cell and atoms, written as POSCAR:
```
CsAgSe4
1.0
5.8907 0.0000 0.0000
0.0000 9.2075 0.0000
0.0000 0.0000 14.0770
Cs Ag Se
4 4 16
direct
0.1672 0.0627 0.3342 Cs
0.3328 0.9373 0.8342 Cs
0.6672 0.4373 0.6658 Cs
0.8328 0.5627 0.1658 Cs
0.0475 0.1286 0.0604 Ag
0.4525 0.8714 0.5604 Ag
0.5475 0.3714 0.9396 Ag
0.9525 0.6286 0.4396 Ag
0.0968 0.5752 0.9276 Se
0.1239 0.6905 0.6091 Se
0.1445 0.3622 0.8290 Se
0.2075 0.8661 0.0978 Se
0.2925 0.1339 0.5978 Se
0.3555 0.6378 0.3290 Se
0.3761 0.3095 0.1091 Se
0.4032 0.4248 0.4276 Se
0.5968 0.9248 0.0724 Se
0.6239 0.8095 0.3909 Se
0.6445 0.1378 0.1710 Se
0.7075 0.6339 0.9022 Se
0.7925 0.3661 0.4022 Se
0.8555 0.8622 0.6710 Se
0.8761 0.1905 0.8909 Se
0.9032 0.0752 0.5724 Se
```

V   31.813 Å³/atom
Final energy   -3.3461 eV per atom
Relative energy among the computed polymorphs   0 meV/atom



Entry 6:
Compound: CsAgSe4
Source: the Open Quantum Materials Database
Functional: PBE
Structure: relaxed

Cell and atoms, written as POSCAR:
```
CsAgSe4
1.0
8.8763 0.0000 0.0000
0.0000 4.1586 0.0000
-4.1143 0.0000 9.6199
Cs Ag Se
2 2 8
direct
0.2444 0.2500 0.2893 Cs
0.7556 0.7500 0.7107 Cs
0.0717 0.2500 0.5995 Ag
0.9283 0.7500 0.4005 Ag
0.1382 0.2500 0.8773 Se
0.2565 0.7500 0.5789 Se
0.3296 0.7500 0.8681 Se
0.4687 0.7500 0.1340 Se
0.5313 0.2500 0.8660 Se
0.6704 0.2500 0.1319 Se
0.7435 0.2500 0.4211 Se
0.8618 0.7500 0.1227 Se
```

V   29.592 Å³/atom
Final energy   -3.2007 eV per atom
Relative energy among the computed polymorphs   145 meV/atom



Entry 7:
Compound: CsSiAgSe3
Source: the Open Quantum Materials Database
Functional: PBE
Structure: relaxed

Cell and atoms, written as POSCAR:
```
CsSiAgSe3
1.0
1.8518 -8.2816 0.0000
1.8518 8.2816 0.0000
0.0000 0.0000 10.6748
Cs Si Ag Se
2 2 2 6
direct
0.2351 0.7649 0.7500 Cs
0.7649 0.2351 0.2500 Cs
0.5000 0.5000 0.0000 Si
0.5000 0.5000 0.5000 Si
0.0744 0.9256 0.2500 Ag
0.9256 0.0744 0.7500 Ag
0.1058 0.8942 0.0174 Se
0.1058 0.8942 0.4826 Se
0.4564 0.5436 0.2500 Se
0.5436 0.4564 0.7500 Se
0.8942 0.1058 0.5174 Se
0.8942 0.1058 0.9826 Se
```

V   27.285 Å³/atom
Final energy   -3.6016 eV per atom
Relative energy among the computed polymorphs   120 meV/atom



Entry 8:
Compound: CsSiAgSe3
Source: the Open Quantum Materials Database
Functional: PBE
Structure: relaxed

Cell and atoms, written as POSCAR:
```
CsSiAgSe3
1.0
9.0004 0.0000 0.0000
0.0000 3.8932 0.0000
-4.0228 0.0000 9.3922
Cs Si Ag Se
2 2 2 6
direct
0.2404 0.2500 0.2834 Cs
0.7596 0.7500 0.7166 Cs
0.3368 0.7500 0.8632 Si
0.6632 0.2500 0.1368 Si
0.0470 0.2500 0.6012 Ag
0.9530 0.7500 0.3988 Ag
0.1541 0.2500 0.8771 Se
0.2668 0.7500 0.6048 Se
0.4641 0.7500 0.1223 Se
0.5359 0.2500 0.8777 Se
0.7332 0.2500 0.3952 Se
0.8459 0.7500 0.1229 Se
```

V   27.425 Å³/atom
Final energy   -3.7215 eV per atom
Relative energy among the computed polymorphs   0 meV/atom



Which of these has the highest V? CsAgSe



Among the records above, which one has the lowest final energy? CsScAgSe3



Among the records above, which one has the lowest V? number 7



The highest final energy belongs to which entry? number 2